{
  "formula": "AgBiMoS2",
  "functional": "PBE",
  "state": "optimized geometry",
  "lattice": [[5.326, 0.000, 0.000], [0.000, 5.326, 0.000], [0.000, 0.000, 5.428]],
  "species": ["Ag", "Bi", "Mo", "S", "S"],
  "frac_coords": [[0.000, 0.000, 0.000], [0.500, 0.500, 0.500], [0.500, 0.500, 0.000], [0.000, 0.500, 0.500], [0.500, 0.000, 0.500]],
  "e_form_raw_ev_per_atom": 1.3173,
  "final_energy_ev_per_atom": -3.846,
  "dos_at_fermi_per_ev_atom": 0.3098
}

***

{
  "formula": "ScAg2BiMo",
  "functional": "PBE",
  "state": "optimized geometry",
  "lattice": [[5.278, 0.000, 0.000], [0.000, 5.278, 0.000], [0.000, 0.000, 5.519]],
  "species": ["Sc", "Ag", "Ag", "Bi", "Mo"],
  "frac_coords": [[0.000, 0.000, 0.000], [0.000, 0.500, 0.500], [0.500, 0.000, 0.500], [0.000, 0.000, 0.500], [0.500, 0.500, 0.000]],
  "final_energy_ev_per_atom": -4.080,
  "dos_at_fermi_per_ev_atom": 0.6931,
  "delta_e_f_ev_per_atom": 1.269
}

***

{
  "formula": "Sc2AgBiMo",
  "functional": "PBE",
  "state": "optimized geometry",
  "lattice": [[5.132, 0.000, 0.000], [0.000, 5.132, 0.000], [0.000, 0.000, 5.365]],
  "species": ["Sc", "Sc", "Ag", "Bi", "Mo"],
  "frac_coords": [[0.000, 0.500, 0.000], [0.500, 0.000, 0.000], [0.000, 0.000, 0.000], [0.000, 0.000, 0.500], [0.500, 0.500, 0.500]],
  "final_energy_ev_per_atom": -4.969,
  "dos_at_fermi_per_ev_atom": 1.5404,
  "delta_e_f_ev_per_atom": 1.076
}

***

{
  "formula": "TaAgBi2Mo",
  "functional": "PBE",
  "state": "optimized geometry",
  "lattice": [[5.273, 0.000, 0.000], [0.000, 5.273, 0.000], [0.000, 0.000, 5.119]],
  "species": ["Ta", "Ag", "Bi", "Bi", "Mo"],
  "frac_coords": [[0.000, 0.000, 0.000], [0.500, 0.500, 0.500], [0.000, 0.500, 0.500], [0.500, 0.000, 0.500], [0.500, 0.500, 0.000]],
  "final_energy_ev_per_atom": -4.808,
  "dos_at_fermi_per_ev_atom": 0.9610,
  "delta_e_f_ev_per_atom": 1.851
}

***

{
  "formula": "AgBi2N",
  "functional": "PBE",
  "state": "optimized geometry",
  "lattice": [[-3.138, 3.138, 5.280], [3.138, -3.138, 5.280], [3.138, 3.138, -5.280]],
  "species": ["Ag", "Ag", "Bi", "Bi", "Bi", "Bi", "N", "N"],
  "frac_coords": [[0.000, 0.000, 0.000], [0.750, 0.250, 0.500], [0.187, 0.625, 0.062], [0.375, 0.437, 0.562], [0.563, 0.125, 0.938], [0.875, 0.813, 0.438], [0.250, 0.750, 0.500], [0.500, 0.500, 0.000]],
  "e_form_raw_ev_per_atom": 0.6036,
  "final_energy_ev_per_atom": -4.131,
  "dos_at_fermi_per_ev_atom": 0.2922
}

***

{
  "formula": "NbAg2BiN",
  "functional": "PBE",
  "state": "optimized geometry",
  "lattice": [[5.292, 0.000, 0.000], [0.000, 5.292, 0.000], [0.000, 0.000, 5.613]],
  "species": ["Nb", "Ag", "Ag", "Bi", "N"],
  "frac_coords": [[0.000, 0.000, 0.000], [0.000, 0.500, 0.500], [0.500, 0.000, 0.500], [0.000, 0.000, 0.500], [0.500, 0.500, 0.000]],
  "e_form_raw_ev_per_atom": 2.1222,
  "final_energy_ev_per_atom": -3.474,
  "dos_at_fermi_per_ev_atom": 0.5144
}

***

{
  "formula": "AgBiNO2",
  "functional": "PBE",
  "state": "optimized geometry",
  "lattice": [[4.240, 0.000, 0.000], [0.000, 4.240, 0.000], [0.000, 0.000, 4.401]],
  "species": ["Ag", "Bi", "N", "O", "O"],
  "frac_coords": [[0.000, 0.000, 0.000], [0.500, 0.500, 0.500], [0.500, 0.500, 0.000], [0.000, 0.500, 0.500], [0.500, 0.000, 0.500]],
  "e_form_raw_ev_per_atom": 0.5018,
  "final_energy_ev_per_atom": -4.493,
  "dos_at_fermi_per_ev_atom": 0.4586
}

***

{
  "formula": "AgBiNO2",
  "functional": "PBE",
  "state": "optimized geometry",
  "lattice": [[4.068, 0.000, 0.000], [0.000, 4.068, 0.000], [0.000, 0.000, 4.117]],
  "species": ["Ag", "Bi", "N", "O", "O"],
  "frac_coords": [[0.000, 0.000, 0.000], [0.500, 0.500, 0.500], [0.000, 0.000, 0.500], [0.000, 0.500, 0.000], [0.500, 0.000, 0.000]],
  "e_form_raw_ev_per_atom": 0.5808,
  "final_energy_ev_per_atom": -4.414,
  "dos_at_fermi_per_ev_atom": 0.5668
}

***

{
  "formula": "PaAgBi2N",
  "functional": "PBE",
  "state": "optimized geometry",
  "lattice": [[4.022, 0.000, 0.000], [0.000, 4.022, 0.000], [0.000, 0.000, 15.473]],
  "species": ["Pa", "Pa", "Ag", "Ag", "Bi", "Bi", "Bi", "Bi", "N", "N"],
  "frac_coords": [[0.250, 0.250, 0.073], [0.750, 0.750, 0.927], [0.250, 0.250, 0.625], [0.750, 0.750, 0.375], [0.250, 0.250, 0.433], [0.250, 0.250, 0.806], [0.750, 0.750, 0.194], [0.750, 0.750, 0.567], [0.250, 0.750, 0.000], [0.750, 0.250, 0.000]],
  "e_form_raw_ev_per_atom": -0.6006,
  "final_energy_ev_per_atom": -6.288,
  "dos_at_fermi_per_ev_atom": 0.4458
}

***

{
  "formula": "PuAgBi2N",
  "functional": "PBE",
  "state": "optimized geometry",
  "lattice": [[3.943, 0.000, 0.000], [0.000, 3.943, 0.000], [0.000, 0.000, 16.107]],
  "species": ["Pu", "Pu", "Ag", "Ag", "Bi", "Bi", "Bi", "Bi", "N", "N"],
  "frac_coords": [[0.250, 0.250, 0.066], [0.750, 0.750, 0.934], [0.250, 0.250, 0.626], [0.750, 0.750, 0.374], [0.250, 0.250, 0.436], [0.250, 0.250, 0.800], [0.750, 0.750, 0.200], [0.750, 0.750, 0.564], [0.250, 0.750, 0.000], [0.750, 0.250, 0.000]],
  "e_form_raw_ev_per_atom": -0.3999,
  "final_energy_ev_per_atom": -7.054,
  "dos_at_fermi_per_ev_atom": 1.4481
}

***

{
  "formula": "PuAgBiN",
  "functional": "PBE",
  "state": "optimized geometry",
  "lattice": [[-1.661, 1.661, 7.562], [1.661, -1.661, 7.562], [1.661, 1.661, -7.562]],
  "species": ["Pu", "Ag", "Bi", "N"],
  "frac_coords": [[0.000, 0.000, 0.000], [0.672, 0.672, 0.000], [0.309, 0.309, 0.000], [0.524, 0.524, 0.000]],
  "e_form_raw_ev_per_atom": -0.3719,
  "final_energy_ev_per_atom": -7.719,
  "dos_at_fermi_per_ev_atom": 1.6128
}

***

{
  "formula": "Ag2BiRuN",
  "functional": "PBE",
  "state": "optimized geometry",
  "lattice": [[4.917, 0.000, 0.000], [0.000, 4.917, 0.000], [0.000, 0.000, 3.773]],
  "species": ["Ag", "Ag", "Bi", "Ru", "N"],
  "frac_coords": [[0.000, 0.500, 0.000], [0.500, 0.000, 0.000], [0.000, 0.000, 0.500], [0.500, 0.500, 0.500], [0.500, 0.500, 0.000]],
  "e_form_raw_ev_per_atom": 0.4890,
  "final_energy_ev_per_atom": -4.948,
  "dos_at_fermi_per_ev_atom": 0.4477
}

***

Q: Number 3 is which compound?
A: Sc2AgBiMo